Entry 1:
{"formula": "Sr2In4Hg5", "functional": "PBE", "state": "optimized geometry", "cell": [[7.0476, 0.0000, 0.0000], [3.5238, 5.6022, -0.8836], [3.5238, 0.3312, 7.9689]], "species": ["Hg", "Hg", "In", "Sr", "In", "In", "Sr", "In", "Hg", "Hg", "Hg"], "fractional_positions": [[0.2154, 0.1616, 0.8368], [0.0000, 0.5000, 0.5000], [0.7178, 0.0189, 0.5454], [0.3056, 0.6146, 0.7743], [0.2822, 0.9811, 0.4546], [0.2829, 0.3015, 0.1327], [0.6944, 0.3854, 0.2257], [0.7171, 0.6985, 0.8673], [0.2137, 0.8384, 0.1632], [0.7846, 0.8384, 0.1632], [0.7863, 0.1616, 0.8368]], "total_energy_ev_per_cell": -18.34, "delta_e_f_ev_per_atom": -0.229}



Entry 2:
{"formula": "Sr2InHg12", "functional": "PBE", "state": "optimized geometry", "cell": [[-1.0083, 2.5220, -6.3721], [6.1744, -2.4601, -1.9506], [-7.7668, -15.5789, -4.9370]], "species": ["Hg", "Hg", "In", "Hg", "Sr", "Hg", "Hg", "Hg", "Hg", "Hg", "Sr", "Hg", "Hg", "Hg", "Sr", "Hg", "Hg", "Sr", "Hg", "Hg", "Hg", "Hg", "Hg", "Hg", "Hg", "In", "Hg", "Hg", "Hg", "Hg"], "fractional_positions": [[0.0000, 0.0000, 0.6497], [0.1579, 0.6579, 0.5679], [0.0000, 0.5000, 0.0000], [0.5000, 0.5000, 0.3503], [0.0000, 0.5000, 0.7547], [0.2498, 0.7498, 0.9037], [0.7502, 0.7498, 0.0963], [0.7502, 0.2502, 0.9037], [0.5000, 0.5000, 0.1925], [0.3421, 0.8421, 0.4321], [0.5000, 0.0000, 0.2453], [0.2498, 0.2502, 0.0963], [0.6579, 0.1579, 0.4321], [0.0000, 0.0000, 0.8075], [0.0000, 0.5000, 0.2453], [0.0000, 0.0000, 0.1925], [0.5000, 0.5000, 0.6497], [0.5000, 0.0000, 0.7547], [0.5000, 0.5000, 0.8075], [0.3421, 0.1579, 0.5679], [0.1579, 0.3421, 0.4321], [0.2502, 0.7502, 0.0963], [0.8421, 0.3421, 0.5679], [0.7498, 0.2498, 0.0963], [0.2502, 0.2498, 0.9037], [0.5000, 0.0000, 0.0000], [0.8421, 0.6579, 0.4321], [0.6579, 0.8421, 0.5679], [0.0000, 0.0000, 0.3503], [0.7498, 0.7502, 0.9037]], "total_energy_ev_per_cell": -24.79, "delta_e_f_ev_per_atom": -0.178}



Entry 3:
{"formula": "SrIn2Hg6", "functional": "PBE", "state": "optimized geometry", "cell": [[6.4652, 0.0000, 0.0000], [-3.2326, 5.5990, 0.0000], [0.0000, 0.0000, 7.9033]], "species": ["Hg", "In", "Hg", "Sr", "In", "Hg", "Hg", "Hg", "Hg"], "fractional_positions": [[0.5002, 0.5002, 0.8125], [0.3333, 0.6667, 0.5000], [0.4998, 0.0000, 0.8125], [0.0000, 0.0000, 0.0000], [0.6667, 0.3333, 0.5000], [0.0000, 0.4998, 0.8125], [0.5002, 0.0000, 0.1875], [0.0000, 0.5002, 0.1875], [0.4998, 0.4998, 0.1875]], "total_energy_ev_per_cell": -9.81, "delta_e_f_ev_per_atom": -0.094, "polymorph_energy_ev_per_atom": 0.053}



Entry 4:
{"formula": "SrIn2Hg3", "functional": "PBE", "state": "optimized geometry", "cell": [[-0.5335, 2.2635, 4.6258], [-2.6159, -4.3362, -1.0774], [10.8479, -7.8038, 5.0694]], "species": ["Hg", "In", "Hg", "Hg", "In", "Hg", "In", "In", "Hg", "Sr", "Sr", "Hg"], "fractional_positions": [[0.0000, 0.0000, 0.0000], [0.6667, 0.3333, 0.0870], [0.0000, 0.0000, 0.5000], [0.3333, 0.6667, 0.3622], [0.3333, 0.6667, 0.5870], [0.6667, 0.3333, 0.8622], [0.6667, 0.3333, 0.4130], [0.3333, 0.6667, 0.9130], [0.3333, 0.6667, 0.1378], [0.0000, 0.0000, 0.2500], [0.0000, 0.0000, 0.7500], [0.6667, 0.3333, 0.6378]], "total_energy_ev_per_cell": -19.30, "delta_e_f_ev_per_atom": -0.264, "polymorph_energy_ev_per_atom": 0.000}



Entry 5:
{"formula": "SrIn6Hg", "functional": "PBE", "state": "optimized geometry", "cell": [[-1.8648, 4.5135, -0.2724], [0.2928, -0.2887, -6.7879], [-6.4816, -2.4828, 3.2324]], "species": ["Hg", "Sr", "In", "In", "In", "In", "In", "In"], "fractional_positions": [[0.5000, 0.1442, 0.2885], [0.5000, 0.6965, 0.3931], [0.0000, 0.3261, 0.1395], [0.5000, 0.6496, 0.8520], [0.0000, 0.8134, 0.1395], [0.5000, 0.2024, 0.8520], [0.0000, 0.8732, 0.7463], [0.0000, 0.2946, 0.5891]], "total_energy_ev_per_cell": -19.56, "delta_e_f_ev_per_atom": -0.143}



Entry 6:
{"formula": "Sr4InHg", "functional": "PBE", "state": "optimized geometry", "cell": [[0.0000, 5.0962, 5.0962], [5.0962, 0.0000, 5.0962], [5.0962, 5.0962, 0.0000]], "species": ["In", "Sr", "Hg", "Sr", "Sr", "Sr"], "fractional_positions": [[0.0000, 0.0000, 0.0000], [0.3746, 0.8764, 0.3746], [0.7500, 0.7500, 0.7500], [0.3746, 0.3746, 0.8764], [0.3746, 0.3746, 0.3746], [0.8764, 0.3746, 0.3746]], "total_energy_ev_per_cell": -8.05, "delta_e_f_ev_per_atom": 0.286, "polymorph_energy_ev_per_atom": 0.632}



Entry 7:
{"formula": "Sr12In3Hg5", "functional": "PBE", "state": "optimized geometry", "cell": [[16.8278, 0.0000, 0.0000], [-5.6093, 15.8654, 0.0000], [-5.6093, -7.9327, 13.7398]], "species": ["In", "In", "Sr", "Hg", "Hg", "In", "Sr", "Sr", "Sr", "Hg", "In", "Sr", "Hg", "Hg", "In", "Sr", "Sr", "Sr", "Hg", "Hg", "Sr", "Hg", "Sr", "Sr", "Sr", "Sr", "In", "Sr", "Sr", "Sr", "Sr", "Sr", "Sr", "In", "Sr", "Sr", "Hg", "Sr", "Sr", "Sr", "Hg", "In", "Sr", "Hg", "In", "Sr", "Hg", "Sr", "Hg", "Sr", "In", "Sr", "Sr", "Sr", "Hg", "Sr", "Sr", "Hg", "Sr", "Hg", "Sr", "Sr", "Sr", "Hg", "Sr", "Hg", "Sr", "Sr", "Sr", "In", "Sr", "Sr", "Hg", "Hg", "Sr", "In", "Sr", "Sr", "Sr", "Sr"], "fractional_positions": [[0.1250, 0.8750, 0.7500], [0.2500, 0.6250, 0.8750], [0.5924, 0.8696, 0.4233], [0.1250, 0.7500, 0.3750], [0.2500, 0.8750, 0.1250], [0.8750, 0.1250, 0.2500], [0.9233, 0.0924, 0.8696], [0.9076, 0.0767, 0.6304], [0.2772, 0.4076, 0.8309], [0.1250, 0.3750, 0.2500], [0.8750, 0.7500, 0.1250], [0.7772, 0.4463, 0.3696], [0.5000, 0.5000, 0.5000], [0.2500, 0.3750, 0.6250], [0.2500, 0.1250, 0.3750], [0.7228, 0.5924, 0.1691], [0.5767, 0.6304, 0.4076], [0.0537, 0.4233, 0.8309], [0.6250, 0.7500, 0.8750], [0.7500, 0.6250, 0.3750], [0.1304, 0.7228, 0.5537], [0.8750, 0.2500, 0.6250], [0.7228, 0.1304, 0.0537], [0.6304, 0.5767, 0.9076], [0.1691, 0.0924, 0.7228], [0.8696, 0.5924, 0.9233], [0.3750, 0.7500, 0.6250], [0.4463, 0.7772, 0.8696], [0.2228, 0.5537, 0.6304], [0.7772, 0.3309, 0.9076], [0.3309, 0.7772, 0.4076], [0.5767, 0.9463, 0.6691], [0.0924, 0.1691, 0.2228], [0.7500, 0.8750, 0.6250], [0.4076, 0.2772, 0.3309], [0.0767, 0.9076, 0.1304], [0.3750, 0.1250, 0.7500], [0.3696, 0.9463, 0.7772], [0.0924, 0.9233, 0.3696], [0.3309, 0.5537, 0.4233], [0.5000, 0.0000, 0.5000], [0.1250, 0.2500, 0.8750], [0.2772, 0.8696, 0.9463], [0.5000, 0.5000, 0.0000], [0.7500, 0.3750, 0.1250], [0.1691, 0.0767, 0.9463], [0.7500, 0.1250, 0.8750], [0.4463, 0.6691, 0.0767], [0.8750, 0.6250, 0.7500], [0.6304, 0.0537, 0.2228], [0.3750, 0.6250, 0.2500], [0.9076, 0.8309, 0.7772], [0.4076, 0.1304, 0.5767], [0.5924, 0.7228, 0.6691], [0.0000, 0.5000, 0.0000], [0.9463, 0.3696, 0.2772], [0.6691, 0.4463, 0.5767], [0.5000, 0.0000, 0.0000], [0.3696, 0.4233, 0.0924], [0.0000, 0.0000, 0.5000], [0.6691, 0.2228, 0.5924], [0.8309, 0.9076, 0.2772], [0.1304, 0.4076, 0.0767], [0.3750, 0.2500, 0.1250], [0.9233, 0.8309, 0.5537], [0.0000, 0.0000, 0.0000], [0.8309, 0.9233, 0.0537], [0.9463, 0.5767, 0.1691], [0.4233, 0.3696, 0.5924], [0.6250, 0.3750, 0.7500], [0.5537, 0.2228, 0.1304], [0.5537, 0.3309, 0.9233], [0.6250, 0.8750, 0.2500], [0.0000, 0.5000, 0.5000], [0.4233, 0.0537, 0.3309], [0.6250, 0.2500, 0.3750], [0.0767, 0.1691, 0.4463], [0.0537, 0.6304, 0.7228], [0.2228, 0.6691, 0.0924], [0.8696, 0.2772, 0.4463]], "total_energy_ev_per_cell": -132.98, "delta_e_f_ev_per_atom": -0.167}



Entry 8:
{"formula": "Sr2In6Hg", "functional": "PBE", "state": "optimized geometry", "cell": [[-6.5315, -0.9510, 0.0237], [0.6122, -4.3132, -5.1479], [0.9633, -6.5664, 1.1973]], "species": ["In", "In", "Sr", "In", "In", "In", "In", "Sr", "Hg"], "fractional_positions": [[0.6703, 0.6440, 0.1779], [0.3291, 0.8217, 0.8217], [0.1445, 0.3332, 0.3332], [0.6703, 0.1779, 0.6440], [0.6709, 0.1783, 0.1783], [0.3297, 0.3560, 0.8221], [0.3297, 0.8221, 0.3560], [0.8555, 0.6668, 0.6668], [0.0000, 0.0000, 0.0000]], "total_energy_ev_per_cell": -22.82, "delta_e_f_ev_per_atom": -0.302, "polymorph_energy_ev_per_atom": 0.000}